(1)
DFT (PBE) results for an optimized crystal structure of TaAl2VTc.

Lattice parameters (Å, degrees): 4.6369 4.4737 4.6369 90.00 90.00 90.00
Site moments in Bohr magnetons follow the coordinates.
Element x y z (fractional)
V 0.0000 0.0000 0.0000  0.08
Al 0.0000 0.0000 0.5000  -0.01
Al 0.5000 0.0000 0.0000  0.00
Tc 0.5000 0.5000 0.5000  2.45
Ta 0.0000 0.5000 0.0000  -0.10

Values from the calculation:
Symmetry: P4/mmm (123)
Calculated total energy (eV per atom): -6.641
DOS(E_F) (states/eV/cell): 3.451
Magnetic moment (Bohr magnetons per cell): 2.608
DFT formation energy (eV per atom): 1.123


(2)
DFT (PBE) results for an optimized crystal structure of TaAlV2Tc.

Lattice parameters (Å, degrees): 4.4807 4.8638 4.4807 90.00 90.00 90.00
Element x y z (fractional)
Ta 0.0000 0.5000 0.0000
V 0.5000 0.0000 0.0000
V 0.0000 0.0000 0.5000
Tc 0.0000 0.0000 0.0000
Al 0.5000 0.5000 0.5000

Values from the calculation:
Symmetry: P4/mmm (123)
Calculated total energy (eV per atom): -7.817
DOS(E_F) (states/eV/cell): 4.848
Magnetic moment (Bohr magnetons per cell): 0.000
DFT formation energy (eV per atom): 1.022


(3)
DFT (PBE) results for an optimized crystal structure of TaAlZnTc.

Lattice parameters (Å, degrees): 4.4276 4.4276 4.4276 60.00 60.00 60.00
Element x y z (fractional)
Tc 0.5000 0.5000 0.5000
Ta 0.7500 0.7500 0.7500
Al 0.2500 0.2500 0.2500
Zn 0.0000 0.0000 0.0000

Values from the calculation:
Symmetry: F-43m (216)
Calculated total energy (eV per atom): -6.976
DOS(E_F) (states/eV/cell): 3.747
Magnetic moment (Bohr magnetons per cell): 0.000
DFT formation energy (eV per atom): -0.167